DFT (PBE) results for crystalline MgMn2P at its relaxed geometry.

## Properties
energy relative to the elements: 0.034 eV per atom
E: -25.2 eV/cell

Structure (CIF):
```
data_MgMn2P
_space_group_name_H-M_alt 'P 1 2/m 1'
_space_group_IT_number 10
_cell_length_a 2.966
_cell_length_b 3.808
_cell_length_c 5.414
_cell_angle_alpha 90.00
_cell_angle_beta 104.36
_cell_angle_gamma 90.00
loop_
_space_group_symop_operation_xyz
'x,y,z'
'-x,-y,-z'
'-x,y,-z'
'x,-y,z'
loop_
_atom_site_label
_atom_site_fract_x
_atom_site_fract_y
_atom_site_fract_z
_atom_site_occupancy
Mg1 0.000 0.000 0.000 1
Mn1 0.353 0.500 0.715 1
P1 0.000 0.000 0.500 1
```

DFT (PBE) results for crystalline NaZrPd2 at its relaxed geometry.

## Properties
energy relative to the elements: -0.448 eV per atom
E: -22.0 eV/cell
polymorph energy (0 for the lowest one): 0 meV/atom

Structure (CIF):
```
data_NaZrPd2
_space_group_name_H-M_alt 'P 4/m m m'
_space_group_IT_number 123
_space_group_name_Hall '-P 4 2'
_cell_length_a 3.328
_cell_length_b 3.328
_cell_length_c 7.265
_cell_angle_alpha 90.00
_cell_angle_beta 90.00
_cell_angle_gamma 90.00
loop_
_atom_site_label
_atom_site_fract_x
_atom_site_fract_y
_atom_site_fract_z
_atom_site_occupancy
Na1 0.000 0.000 0.000 1
Zr1 0.000 0.000 0.500 1
Pd1 0.500 0.500 0.290 1
```

DFT (PBE) results for crystalline K3CaTh2Te6 at its relaxed geometry.

## Properties
E: -108.8 eV/cell
formation energy (no corrections): -1285 meV per atom

Structure (CIF):
```
data_K3CaTh2Te6
_space_group_name_H-M_alt 'C 1 2/m 1'
_space_group_IT_number 12
_cell_length_a 7.928
_cell_length_b 13.723
_cell_length_c 8.700
_cell_angle_alpha 90.00
_cell_angle_beta 107.68
_cell_angle_gamma 90.00
loop_
_space_group_symop_operation_xyz
'x,y,z'
'-x,-y,-z'
'-x,y,-z'
'x,-y,z'
'x+1/2,y+1/2,z'
'-x+1/2,-y+1/2,-z'
'-x+1/2,y+1/2,-z'
'x+1/2,-y+1/2,z'
loop_
_atom_site_label
_atom_site_fract_x
_atom_site_fract_y
_atom_site_fract_z
_atom_site_occupancy
K1 0.000 0.000 0.000 1
K2 0.000 0.335 0.000 1
Ca1 0.000 0.500 0.500 1
Th1 0.000 0.167 0.500 1
Te1 0.234 0.000 0.715 1
Te2 0.241 0.331 0.715 1
```

DFT (PBE) results for crystalline PmSi2Mo at its relaxed geometry.

## Properties
E: -27.8 eV/cell
polymorph energy (0 for the lowest one): 244 meV/atom
formation energy (no corrections): -352 meV per atom

Structure (CIF):
```
data_PmSi2Mo
_space_group_name_H-M_alt 'P 4/m m m'
_space_group_IT_number 123
_space_group_name_Hall '-P 4 2'
_cell_length_a 3.261
_cell_length_b 3.261
_cell_length_c 6.771
_cell_angle_alpha 90.00
_cell_angle_beta 90.00
_cell_angle_gamma 90.00
loop_
_atom_site_label
_atom_site_fract_x
_atom_site_fract_y
_atom_site_fract_z
_atom_site_occupancy
Pm1 0.000 0.000 0.000 1
Si1 0.500 0.500 0.314 1
Mo1 0.000 0.000 0.500 1
```